# 1
DFT (PBE) results for a relaxed structure of AcLaGaPt. Values from VASP.

Output
Relative energy among the computed polymorphs in meV per atom: 99
Formation energy from the elements in eV per atom: -0.71
V in Å³/atom: 27.28

The structure in Quantum ESPRESSO input format:
```
&SYSTEM
  ibrav = 0, nat = 4, ntyp = 4
/
ATOMIC_SPECIES
Ac 227.00 Ac.upf
La 138.91 La.upf
Ga 69.72 Ga.upf
Pt 195.08 Pt.upf
CELL_PARAMETERS angstrom
0.000 3.793 3.793
3.793 0.000 3.793
3.793 3.793 0.000
ATOMIC_POSITIONS crystal
Ac 0.000 0.000 0.000
La 0.500 0.500 0.500
Ga 0.750 0.750 0.750
Pt 0.250 0.250 0.250
```

# 2
DFT (PBE) results for a relaxed structure of H2AuN. Values from VASP.

Output
Relative energy among the computed polymorphs in meV per atom: 757
V in Å³/atom: 8.04

The structure in Quantum ESPRESSO input format:
```
&SYSTEM
  ibrav = 0, nat = 8, ntyp = 3
/
ATOMIC_SPECIES
H 1.01 H.upf
Au 196.97 Au.upf
N 14.01 N.upf
CELL_PARAMETERS angstrom
-2.237 2.237 3.212
2.237 -2.237 3.212
2.237 2.237 -3.212
ATOMIC_POSITIONS crystal
H 0.000 0.000 0.000
H 0.000 0.000 0.500
H 0.000 0.500 0.000
H 0.500 0.000 0.500
Au 0.375 0.625 0.750
Au 0.625 0.375 0.250
N 0.125 0.875 0.250
N 0.875 0.125 0.750
```

# 3
DFT (PBE) results for a relaxed structure of Re4PtSe. Values from VASP.

Output
E_form (uncorrected) in eV/atom: 0.832
V in Å³/atom: 16.71

The structure in Quantum ESPRESSO input format:
```
&SYSTEM
  ibrav = 0, nat = 6, ntyp = 3
/
ATOMIC_SPECIES
Re 186.21 Re.upf
Pt 195.08 Pt.upf
Se 78.96 Se.upf
CELL_PARAMETERS angstrom
0.000 3.687 3.687
3.687 0.000 3.687
3.687 3.687 0.000
ATOMIC_POSITIONS crystal
Re 0.124 0.124 0.124
Re 0.124 0.124 0.629
Re 0.124 0.629 0.124
Re 0.629 0.124 0.124
Pt 0.750 0.750 0.750
Se 0.500 0.500 0.500
```